Compound: LuSi2
Source: Alexandria
Functional: PBE-GGA
Structure: relaxed

calculated total energy = -5.541 eV/atom
magnetization = 0.0 μB/cell
uncorrected formation energy = -0.419 eV/atom
theoretical density = 7.0 Mg/m³
symmetry = P6/mmm, No. 191

abc: 4.078 4.078 3.795
angles: 90.00 90.00 120.00
Fractional positions:
Lu (0.000, 0.000, 0.000)
Si (0.333, 0.667, 0.500)
Si (0.667, 0.333, 0.500)